# CrGaSnO6 (PBE+U, relaxed)
data_CrGaSnO6
_symmetry_space_group_name_H-M 'P 42 n m'
_symmetry_Int_Tables_number 102
_cell_length_a 4.6245
_cell_length_b 4.6245
_cell_length_c 9.2185
_cell_angle_alpha 90.00
_cell_angle_beta 90.00
_cell_angle_gamma 90.00
loop_
_symmetry_equiv_pos_as_xyz
'x,y,z'
'-y+1/2,x+1/2,z+1/2'
'-x,-y,z'
'y+1/2,-x+1/2,z+1/2'
'-x+1/2,y+1/2,z+1/2'
'y,x,z'
'x+1/2,-y+1/2,z+1/2'
'-y,-x,z'
loop_
_atom_site_label
_atom_site_fract_x
_atom_site_fract_y
_atom_site_fract_z
Cr1 0.0000 0.0000 0.0000
Ga1 0.0000 0.0000 0.3331
Sn1 0.0000 0.0000 0.6661
O1 0.1849 0.1849 0.1611
O2 0.1958 0.1958 0.8447
O3 0.2093 0.2093 0.4950
# DFT total energy	-114.874	eV for the cell shown